# 1
Below is an optimized crystal structure of TaNi4Pt, with properties calculated at the PBEsol level.

a = 6.595 Å, b = 6.595 Å, c = 6.595 Å
α = 90.00°, β = 90.00°, γ = 90.00°
Space group F-43m (No. 216)
Symmetry-distinct sites (fractional):
Ta 0.000 0.000 0.000 x4
Ni 0.125 0.125 0.375 x16
Pt 0.250 0.250 0.750 x4

## Properties
VASP energy: -186.5 eV per cell
total moment: 0.0 Bohr magnetons per cell
calculated density: 14.1 g/cm³


# 2
Below is an optimized crystal structure of Ta2Ni2Pt, with properties calculated at the PBEsol level.

a = 6.593 Å, b = 6.593 Å, c = 3.239 Å
α = 90.00°, β = 90.00°, γ = 90.00°
Space group P4/mbm (No. 127)
Symmetry-distinct sites (fractional):
Ta 0.174 0.326 0.000 x4
Ni 0.126 0.626 0.500 x4
Pt 0.000 0.000 0.500 x2

## Properties
VASP energy: -93.2 eV per cell
total moment: 0.0 Bohr magnetons per cell
calculated density: 15.9 g/cm³


# 3
Below is an optimized crystal structure of TaNiPt, with properties calculated at the PBEsol level.

a = 2.7883 Å, b = 2.7883 Å, c = 6.4550 Å
α = 90.00°, β = 90.00°, γ = 120.00°
Space group P3m1 (No. 156)
Symmetry-distinct sites (fractional):
Ta 0.0000 0.0000 0.0000 x1
Ni 0.3333 0.6667 0.6794 x1
Pt 0.6667 0.3333 0.3508 x1

## Properties
VASP energy: -26.1 eV per cell
total moment: 0.0 Bohr magnetons per cell
calculated density: 16.6 g/cm³


# 4
Below is an optimized crystal structure of TaNi6Pt, with properties calculated at the PBEsol level.

a = 7.204 Å, b = 10.212 Å, c = 10.210 Å
α = 90.00°, β = 90.00°, γ = 90.00°
Space group Cmmm (No. 65)
Symmetry-distinct sites (fractional):
Ta 0.000 0.000 0.247 x4
Ta 0.000 0.247 0.500 x4
Ni 0.000 0.000 0.000 x2
Ni 0.000 0.000 0.500 x2
Ni 0.000 0.248 0.254 x8
Ni 0.000 0.500 0.000 x2
Ni 0.000 0.500 0.500 x2
Ni 0.249 0.125 0.126 x16
Ni 0.250 0.125 0.376 x16
Pt 0.000 0.245 0.000 x4
Pt 0.000 0.500 0.246 x4

## Properties
VASP energy: -465.2 eV per cell
total moment: 0.1 Bohr magnetons per cell
calculated density: 12.9 g/cm³